Er3P6Pd20, relaxed, DFT PBEsol; calculated density = 10.683 Mg/m³; space group = No. 225; E_form = -22.82 eV/f.u.
1.0
0.000 6.026 6.026
6.026 0.000 6.026
6.026 6.026 0.000
Er P Pd
3 6 20
direct
0.000 0.000 0.000
0.250 0.250 0.250
0.750 0.750 0.750
0.263 0.263 0.737
0.263 0.737 0.263
0.263 0.737 0.737
0.737 0.263 0.263
0.737 0.263 0.737
0.737 0.737 0.263
0.000 0.000 0.346
0.000 0.000 0.654
0.000 0.346 0.000
0.000 0.346 0.654
0.000 0.654 0.000
0.000 0.654 0.346
0.152 0.616 0.616
0.346 0.000 0.000
0.346 0.000 0.654
0.346 0.654 0.000
0.384 0.384 0.384
0.384 0.384 0.848
0.384 0.848 0.384
0.616 0.152 0.616
0.616 0.616 0.152
0.616 0.616 0.616
0.654 0.000 0.000
0.654 0.000 0.346
0.654 0.346 0.000
0.848 0.384 0.384